This record from the Alexandria database describes Zn2HgPb2 after structural relaxation. The functional is PBE.

The structure in POSCAR format:
```
Zn2HgPb2
1.0
3.638 0.000 0.000
0.000 3.638 0.000
1.819 1.819 9.548
Zn Hg Pb
2 1 2
direct
0.250 0.750 0.500
0.750 0.250 0.500
0.000 0.000 0.000
0.616 0.616 0.767
0.384 0.384 0.233
```

Values from the calculation:
E_form (eV per atom): 0.09
Spin magnetization (μB/f.u.): 0.0
E_tot (eV per cell): -9.8
SG: I4/mmm